VASP calculation (GGA-PBEsol) on SrHfMnI2 after structural relaxation.

Properties
- calculated volume (Å³/f.u.) = 149.94
- ΔE_f (raw) (eV/atom) = 0.814
- DOS(E_F) (states/eV per atom) = 1.211

Lattice parameters (Å, degrees): 5.237 5.237 5.466 90.00 90.00 90.00
Element x y z (fractional)
Sr1 0.000 0.000 0.000
Hf1 0.500 0.500 0.000
Mn1 0.000 0.000 0.500
I1 0.000 0.500 0.500
I2 0.500 0.000 0.500



VASP calculation (GGA-PBEsol) on HfMnTeI2 after structural relaxation.

Properties
- calculated volume (Å³/f.u.) = 172.31
- ΔE_f (raw) (eV/atom) = 0.281
- DOS(E_F) (states/eV per atom) = 0.634

Lattice parameters (Å, degrees): 5.594 5.594 5.507 90.00 90.00 90.00
Element x y z (fractional)
Hf1 0.000 0.000 0.000
Mn1 0.500 0.500 0.500
Te1 0.000 0.000 0.500
I1 0.000 0.500 0.000
I2 0.500 0.000 0.000



VASP calculation (GGA-PBEsol) on HfMoI2 after structural relaxation.

Properties
- calculated volume (Å³/f.u.) = 115.38
- ΔE_f (raw) (eV/atom) = 1.133
- DOS(E_F) (states/eV per atom) = 1.293

Lattice parameters (Å, degrees): 7.155 7.155 7.155 126.14 126.14 79.66
Element x y z (fractional)
Hf1 0.000 0.000 0.000
Hf2 0.750 0.250 0.500
Mo1 0.250 0.750 0.500
Mo2 0.500 0.500 0.000
I1 0.147 0.625 0.022
I2 0.375 0.397 0.522
I3 0.603 0.125 0.978
I4 0.875 0.853 0.478